1.
CeAl2IrO8 | PBE-GGA | relaxed

Cell and atoms, written as POSCAR:
```
CeAl2IrO8
1.0
3.284 -3.290 0.000
3.284 3.290 0.000
0.000 0.000 6.234
Ce Al Ir O
1 2 1 8
direct
0.000 0.000 0.000
0.500 0.500 0.251
0.500 0.500 0.749
0.000 0.000 0.500
0.217 0.783 0.283
0.217 0.783 0.717
0.297 0.297 0.500
0.325 0.325 0.000
0.675 0.675 0.000
0.703 0.703 0.500
0.783 0.217 0.283
0.783 0.217 0.717
```

## Properties
mass density	6341	kg/m3
calculated volume	134.7	Å³/f.u.
raw total energy	-7.31	eV/atom
raw formation energy	-2150	meV/atom
spin magnetization	0.00	μB per cell


2.
Y2CdGa4Au3 | PBE-GGA | relaxed

Cell and atoms, written as POSCAR:
```
Y2CdGa4Au3
1.0
4.267 0.000 0.000
0.000 4.267 0.000
0.000 0.000 11.218
Y Cd Ga Au
2 1 4 3
direct
0.000 0.500 0.249
0.500 0.000 0.751
0.000 0.000 0.500
0.000 0.000 0.000
0.000 0.500 0.645
0.500 0.000 0.355
0.500 0.500 0.000
0.000 0.500 0.866
0.500 0.000 0.134
0.500 0.500 0.500
```

## Properties
mass density	9432	kg/m3
calculated volume	204.2	Å³/f.u.
raw total energy	-4.12	eV/atom
spin magnetization	0.00	μB per cell
E_form	-0.55	eV per atom


3.
BeRe2Hg | PBE-GGA | relaxed

Cell and atoms, written as POSCAR:
```
BeRe2Hg
1.0
2.987 0.000 0.000
0.000 3.039 0.000
-1.383 0.000 6.710
Be Re Hg
1 2 1
direct
0.000 0.000 0.000
0.427 0.500 0.842
0.822 0.000 0.614
0.173 0.500 0.291
```

## Properties
mass density	15865	kg/m3
calculated volume	60.9	Å³/f.u.
raw total energy	-6.96	eV/atom
spin magnetization	0.00	μB per cell
E_form	0.27	eV per atom


4.
TaAgMo2 | PBE-GGA | relaxed

Cell and atoms, written as POSCAR:
```
TaAgMo2
1.0
2.696 0.000 0.000
0.000 2.696 0.000
0.000 0.000 9.295
Ta Ag Mo
1 1 2
direct
0.000 0.000 0.000
0.000 0.000 0.500
0.500 0.500 0.252
0.500 0.500 0.748
```

## Properties
mass density	11816	kg/m3
calculated volume	67.6	Å³/f.u.
raw total energy	-8.80	eV/atom
spin magnetization	0.00	μB per cell
E_form	0.30	eV per atom